1.
A plane-wave DFT calculation with PBE was carried out for an optimized crystal structure of Li2NiN.

Lattice parameters (Å, degrees): 3.133 3.133 14.952 90.00 90.00 90.00
Space group I-42d (No. 122)
Symmetry-distinct sites (fractional):
Li 0.197 0.250 0.125 x8
Ni 0.000 0.000 0.500 x4
N 0.000 0.000 0.000 x4

Values from the calculation:
- DOS(E_F) (states/eV per cell) = 7.19
- formation energy without anion corrections (meV/atom) = 384

***

2.
A plane-wave DFT calculation with PBE was carried out for an optimized crystal structure of LaHoRh2.

Lattice parameters (Å, degrees): 3.454 3.454 7.188 90.00 90.00 90.00
Space group P4/mmm (No. 123)
Symmetry-distinct sites (fractional):
La 0.000 0.000 0.000 x1
Ho 0.000 0.000 0.500 x1
Rh 0.500 0.500 0.269 x2

Values from the calculation:
- DOS(E_F) (states/eV per cell) = 2.99
- formation energy (kJ per mole of atoms) = -72.7